Compound: U2Fe
Source: Alexandria via LeMat-Bulk
Functional: PBE
Structure: relaxed

Summary:
Energy relative to the elements ... 0.08 eV/atom
Fermi-level density of states ... 7.2 states/eV/f.u.

Cell lengths 3.430, 3.430, 5.015 Å; angles 110.00, 110.00, 90.00 degrees
Atoms (fractional coordinates):
Fe  0.000  0.000  0.000
U  0.669  0.669  0.337
U  0.331  0.331  0.663


Compound: UFe3
Source: Alexandria via LeMat-Bulk
Functional: PBE
Structure: relaxed

Summary:
Energy relative to the elements ... 0.14 eV/atom
Fermi-level density of states ... 9.0 states/eV/f.u.

Cell lengths 4.293, 4.293, 4.293 Å; angles 60.00, 60.00, 60.00 degrees
Atoms (fractional coordinates):
Fe  0.250  0.250  0.250
Fe  0.750  0.750  0.750
Fe  0.000  0.000  0.000
U  0.500  0.500  0.500


Compound: UFe3
Source: Alexandria via LeMat-Bulk
Functional: PBE
Structure: relaxed

Summary:
Energy relative to the elements ... -0.02 eV/atom
Fermi-level density of states ... 6.9 states/eV/f.u.

Cell lengths 4.739, 4.739, 16.787 Å; angles 90.00, 90.00, 120.00 degrees
Atoms (fractional coordinates):
Fe  0.333  0.667  0.750
Fe  0.667  0.333  0.250
Fe  0.834  0.667  0.372
Fe  0.166  0.333  0.872
Fe  0.333  0.166  0.128
Fe  0.000  0.000  0.750
Fe  0.000  0.000  0.500
Fe  0.834  0.667  0.128
Fe  0.834  0.166  0.372
Fe  0.834  0.166  0.128
Fe  0.166  0.834  0.628
Fe  0.166  0.834  0.872
Fe  0.667  0.834  0.628
Fe  0.333  0.166  0.372
Fe  0.667  0.834  0.872
Fe  0.166  0.333  0.628
Fe  0.000  0.000  0.250
Fe  0.000  0.000  0.000
U  0.667  0.333  0.750
U  0.667  0.333  0.967
U  0.333  0.667  0.467
U  0.333  0.667  0.033
U  0.333  0.667  0.250
U  0.667  0.333  0.533


Compound: U3Fe
Source: Alexandria via LeMat-Bulk
Functional: PBE
Structure: relaxed

Summary:
Energy relative to the elements ... 0.15 eV/atom
Fermi-level density of states ... 8.7 states/eV/f.u.

Cell lengths 2.840, 4.714, 5.424 Å; angles 90.00, 90.00, 90.00 degrees
Atoms (fractional coordinates):
U  0.000  0.500  0.236
U  0.500  0.500  0.764
U  0.500  0.000  0.566
Fe  0.000  0.000  0.101


Compound: UVFe2
Source: Alexandria via LeMat-Bulk
Functional: PBE
Structure: relaxed

Summary:
Energy relative to the elements ... 0.24 eV/atom
Fermi-level density of states ... 5.0 states/eV/f.u.
Energy above the most stable polymorph in this dataset ... 0.324 eV/atom

Cell lengths 2.784, 2.784, 8.612 Å; angles 80.70, 80.70, 60.00 degrees
Atoms (fractional coordinates):
Fe  0.738  0.738  0.785
Fe  0.262  0.262  0.215
U  0.500  0.500  0.500
V  0.000  0.000  0.000


Compound: UVFe2
Source: Alexandria via LeMat-Bulk
Functional: PBE
Structure: relaxed

Summary:
Energy relative to the elements ... 0.09 eV/atom
Fermi-level density of states ... 7.3 states/eV/f.u.
Energy above the most stable polymorph in this dataset ... 0.168 eV/atom

Cell lengths 3.439, 4.042, 4.042 Å; angles 90.00, 90.00, 90.00 degrees
Atoms (fractional coordinates):
Fe  0.000  0.500  0.000
Fe  0.000  0.000  0.500
U  0.500  0.000  0.000
V  0.500  0.500  0.500


Compound: UVFe4
Source: Alexandria via LeMat-Bulk
Functional: PBE
Structure: relaxed

Summary:
Energy relative to the elements ... 0.04 eV/atom
Fermi-level density of states ... 11.2 states/eV/f.u.

Cell lengths 4.864, 4.864, 4.864 Å; angles 60.00, 60.00, 60.00 degrees
Atoms (fractional coordinates):
V  0.000  0.000  0.000
U  0.250  0.250  0.250
Fe  0.626  0.626  0.122
Fe  0.122  0.626  0.626
Fe  0.626  0.122  0.626
Fe  0.626  0.626  0.626


Compound: UVFe2
Source: Alexandria via LeMat-Bulk
Functional: PBE
Structure: relaxed

Summary:
Energy relative to the elements ... -0.08 eV/atom
Fermi-level density of states ... 4.1 states/eV/f.u.
Energy above the most stable polymorph in this dataset ... 0.000 eV/atom

Cell lengths 2.845, 2.845, 6.775 Å; angles 90.00, 90.00, 90.00 degrees
Atoms (fractional coordinates):
Fe  0.000  0.000  0.206
Fe  0.000  0.000  0.794
V  0.500  0.500  0.000
U  0.500  0.500  0.500


Compound: UFe2W
Source: Alexandria via LeMat-Bulk
Functional: PBE
Structure: relaxed

Summary:
Energy relative to the elements ... 0.09 eV/atom
Fermi-level density of states ... 3.5 states/eV/f.u.
Energy above the most stable polymorph in this dataset ... 0.000 eV/atom

Cell lengths 2.833, 2.833, 7.210 Å; angles 90.00, 90.00, 90.00 degrees
Atoms (fractional coordinates):
Fe  0.000  0.000  0.770
Fe  0.000  0.000  0.230
W  0.500  0.500  0.000
U  0.500  0.500  0.500


Compound: UFe4W
Source: Alexandria via LeMat-Bulk
Functional: PBE
Structure: relaxed

Summary:
Energy relative to the elements ... 0.13 eV/atom
Fermi-level density of states ... 10.1 states/eV/f.u.

Cell lengths 4.852, 4.852, 4.852 Å; angles 60.00, 60.00, 60.00 degrees
Atoms (fractional coordinates):
Fe  0.626  0.123  0.626
Fe  0.123  0.626  0.626
Fe  0.626  0.626  0.123
Fe  0.626  0.626  0.626
W  0.000  0.000  0.000
U  0.250  0.250  0.250


Compound: UFe2W
Source: Alexandria via LeMat-Bulk
Functional: PBE
Structure: relaxed

Summary:
Energy relative to the elements ... 0.39 eV/atom
Fermi-level density of states ... 6.5 states/eV/f.u.
Energy above the most stable polymorph in this dataset ... 0.292 eV/atom

Cell lengths 2.812, 2.812, 8.978 Å; angles 80.99, 80.99, 60.00 degrees
Atoms (fractional coordinates):
W  0.500  0.500  0.500
Fe  0.757  0.757  0.729
Fe  0.243  0.243  0.271
U  0.000  0.000  0.000


Compound: Y3U2Fe4
Source: Alexandria via LeMat-Bulk
Functional: PBE
Structure: relaxed

Summary:
Energy relative to the elements ... -0.18 eV/atom
Fermi-level density of states ... 8.4 states/eV/f.u.

Cell lengths 3.967, 5.808, 8.448 Å; angles 102.40, 90.00, 109.97 degrees
Atoms (fractional coordinates):
Fe  0.734  0.467  0.090
Fe  0.905  0.811  0.351
Fe  0.095  0.189  0.649
Fe  0.266  0.533  0.910
Y  0.000  0.000  0.000
Y  0.624  0.248  0.379
Y  0.376  0.752  0.621
U  0.323  0.647  0.220
U  0.677  0.353  0.780